A relaxed BeCu2Sb crystal. Source: the Alexandria database, functional PBE.

It has space group I-42d (No. 122), with a = 3.8904 Å, b = 3.8904 Å, c = 16.5995 Å, α = 90.00°, β = 90.00° and γ = 90.00°. The asymmetric unit holds Be at (0.0000, 0.0000, 0.0000), Cu at (0.2010, 0.2500, 0.1250) and Sb at (0.0000, 0.0000, 0.5000).

For the energy relative to the elements, uncorrected, the calculation gives 0.30 eV per atom. The calculation puts the excess energy over the best structure of this formula in the dataset at 97.3 meV/atom. The calculation puts the electronic total energy at -3.72 eV per atom.

---

A relaxed BeCuSb2 crystal. Source: the Alexandria database, functional PBE.

It has space group R3m (No. 160, hexagonal axes), with a = 3.9145 Å, b = 3.9145 Å, c = 18.1510 Å, α = 90.00°, β = 90.00° and γ = 120.00°. The asymmetric unit holds Be at (0.0000, 0.0000, 0.0000), Cu at (0.0000, 0.0000, 0.6751), Sb at (0.0000, 0.0000, 0.2484) and Sb at (0.0000, 0.0000, 0.4275).

For the energy relative to the elements, uncorrected, the calculation gives 0.16 eV per atom. The calculation puts the electronic total energy at -3.86 eV per atom.

---

A relaxed BeCuSb crystal. Source: the Alexandria database, functional PBE.

It has space group P3m1 (No. 156), with a = 3.1425 Å, b = 3.1425 Å, c = 5.7393 Å, α = 90.00°, β = 90.00° and γ = 120.00°. The asymmetric unit holds Be at (0.0000, 0.0000, 0.0000), Cu at (0.3333, 0.6667, 0.2477) and Sb at (0.6667, 0.3333, 0.6275).

For the energy relative to the elements, uncorrected, the calculation gives 0.45 eV per atom. The calculation puts the electronic total energy at -3.53 eV per atom.

---

A relaxed Be2CuSb crystal. Source: the Alexandria database, functional PBE.

It has space group P4/mmm (No. 123), with a = 2.9019 Å, b = 2.9019 Å, c = 6.9661 Å, α = 90.00°, β = 90.00° and γ = 90.00°. The asymmetric unit holds Be at (0.0000, 0.0000, 0.1620), Cu at (0.5000, 0.5000, 0.0000) and Sb at (0.5000, 0.5000, 0.5000).

For the energy relative to the elements, uncorrected, the calculation gives 0.39 eV per atom. The calculation puts the electronic total energy at -3.53 eV per atom.

---

A relaxed BeCuSb2 crystal. Source: the Alexandria database, functional PBE.

It has space group Pmm2 (No. 25), with a = 3.2118 Å, b = 3.3143 Å, c = 7.7973 Å, α = 90.00°, β = 90.00° and γ = 90.00°. The asymmetric unit holds Be at (0.0000, 0.0000, 0.0000), Cu at (0.5000, 0.5000, 0.1234), Sb at (0.0000, 0.0000, 0.3335) and Sb at (0.5000, 0.5000, 0.7907).

For the energy relative to the elements, uncorrected, the calculation gives 0.21 eV per atom. The calculation puts the electronic total energy at -3.81 eV per atom.

---

A relaxed BeCuSb2 crystal. Source: the Alexandria database, functional PBE.

It has space group Cmmm (No. 65), with a = 3.8703 Å, b = 5.4301 Å, c = 7.4085 Å, α = 90.00°, β = 90.00° and γ = 90.00°. The asymmetric unit holds Be at (0.0000, 0.0000, 0.0000), Cu at (0.0000, 0.0000, 0.5000) and Sb at (0.0000, 0.5000, 0.2351).

For the energy relative to the elements, uncorrected, the calculation gives 0.46 eV per atom. The calculation puts the electronic total energy at -3.56 eV per atom.